Record 1
The following is a DFT calculation (PBE) of a relaxed structure of NaSm2PaSe5.

Formation energy (no corrections), eV/atom: -1.400
Space-group type: No. 71
Magnetic moment, μB per cell: 0.7
E, eV/atom: -5.59
Theoretical density, Mg/m³: 5.59

Lattice parameters (Å, degrees): 8.519 8.519 8.519 143.81 128.57 64.50
Fractional coordinates of all 9 atoms:
Na 0.000 0.000 0.000
Sm 0.299 0.799 0.500
Sm 0.701 0.201 0.500
Pa 0.500 0.500 0.000
Se 0.106 0.350 0.757
Se 0.407 0.650 0.757
Se 0.500 0.000 0.500
Se 0.593 0.350 0.243
Se 0.894 0.650 0.243



Record 2
The following is a DFT calculation (PBE) of a relaxed structure of Na3SmPa2Se6.

Formation energy (no corrections), eV/atom: -1.395
Space-group type: No. 12
Magnetic moment, μB per cell: 3.8
E, eV/atom: -5.44
Theoretical density, Mg/m³: 6.05

Lattice parameters (Å, degrees): 7.149 7.149 7.547 99.09 99.09 119.99
Fractional coordinates of all 12 atoms:
Na 0.000 0.000 0.000
Na 0.336 0.664 0.000
Na 0.664 0.336 0.000
Sm 0.500 0.500 0.500
Pa 0.167 0.833 0.500
Pa 0.833 0.167 0.500
Se 0.083 0.421 0.263
Se 0.241 0.241 0.737
Se 0.421 0.083 0.263
Se 0.579 0.917 0.737
Se 0.759 0.759 0.263
Se 0.917 0.579 0.737



Record 3
The following is a DFT calculation (PBE) of a relaxed structure of Na4SmPa3Se8.

Formation energy (no corrections), eV/atom: -1.362
Space-group type: No. 166
Magnetic moment, μB per cell: 5.8
E, eV/atom: -5.51
Theoretical density, Mg/m³: 6.18

Lattice parameters (Å, degrees): 8.613 8.613 8.613 57.03 57.03 57.03
Fractional coordinates of all 16 atoms:
Na 0.000 0.000 0.000
Na 0.000 0.500 0.500
Na 0.500 0.000 0.500
Na 0.500 0.500 0.000
Sm 0.500 0.500 0.500
Pa 0.000 0.000 0.500
Pa 0.000 0.500 0.000
Pa 0.500 0.000 0.000
Se 0.243 0.748 0.748
Se 0.246 0.246 0.246
Se 0.252 0.252 0.757
Se 0.252 0.757 0.252
Se 0.748 0.243 0.748
Se 0.748 0.748 0.243
Se 0.754 0.754 0.754
Se 0.757 0.252 0.252



Record 4
The following is a DFT calculation (PBE) of a relaxed structure of NaSmPaSe4.

Formation energy (no corrections), eV/atom: -1.516
Space-group type: No. 74
Magnetic moment, μB per cell: 2.0
E, eV/atom: -5.73
Theoretical density, Mg/m³: 5.31

Lattice parameters (Å, degrees): 8.606 8.606 8.606 120.00 119.99 90.01
Fractional coordinates of all 14 atoms:
Na 0.379 0.129 0.250
Na 0.621 0.871 0.750
Sm 0.000 0.000 0.500
Sm 0.000 0.500 0.000
Pa 0.000 0.500 0.500
Pa 0.500 0.500 0.000
Se 0.215 0.734 0.481
Se 0.242 0.268 0.526
Se 0.242 0.716 0.974
Se 0.247 0.266 0.981
Se 0.753 0.734 0.019
Se 0.758 0.284 0.026
Se 0.758 0.732 0.474
Se 0.785 0.266 0.519



> What is the formula in the first record?

NaSm2PaSe5